# 1
6
Lattice="5.1668 0.0000 0.0000 0.0000 5.1602 0.0000 -0.0065 0.0000 11.5920" Properties=species:S:1:pos:R:3 comment="RbNaI, relaxed, DFT GGA-PBE" space_group="P2_1/m, No. 11" magnetic_moment_mub_per_cell=0.000 polymorph_energy_mev_per_atom=0.0 e_form_raw_ev_per_atom=-0.90 pbc="T T T"
Rb 1.2778 1.2901 3.8025
Rb 3.8824 3.8702 7.7895
Na 1.2798 1.2901 10.8487
Na 3.8804 3.8702 0.7433
I 1.2991 1.2901 7.5851
I 3.8611 3.8702 4.0069


# 2
6
Lattice="6.2186 -1.7929 0.0000 6.2186 1.7929 0.0000 -1.0444 0.0000 6.1184" Properties=species:S:1:pos:R:3 comment="TbErC, relaxed, DFT GGA-PBE" space_group="C2/m, No. 12" e_form_ev_per_atom=-0.288 magnetic_moment_mub_per_cell=0.763 polymorph_energy_mev_per_atom=0.7 pbc="T T T"
Tb 0.9974 0.0000 2.2681
Tb 10.3954 0.0000 3.8503
Er 4.7407 0.0000 0.7958
Er 6.6521 0.0000 5.3225
C 0.0000 0.0000 0.0000
C 5.6964 0.0000 3.0592


Computed DOS at the Fermi energy (states/eV/f.u.) in order:
0.665; 2.132
Computed density (g/cm3) in order:
2.53; 8.23